Record 1
Computed, not measured: an optimized crystal structure of Nd2Tm8Th3 at the PBE level of DFT.

a b c (Å): 11.9284 11.9284 11.9284
angles (deg): 152.90 147.22 43.04
Element x y z (fractional)
Nd (0.2247, 0.2247, 0.0000)
Nd (0.7753, 0.7753, 0.0000)
Tm (0.0754, 0.0754, 0.0000)
Tm (0.0934, 0.3520, 0.7413)
Tm (0.3224, 0.8224, 0.5000)
Tm (0.3893, 0.6480, 0.7413)
Tm (0.6107, 0.3520, 0.2587)
Tm (0.6776, 0.1776, 0.5000)
Tm (0.9066, 0.6480, 0.2587)
Tm (0.9246, 0.9246, 0.0000)
Th (0.2315, 0.5000, 0.7315)
Th (0.5000, 0.0000, 0.5000)
Th (0.7685, 0.5000, 0.2685)

Results
* magnetic moment: 0.0 μB per formula unit
* energy of formation from the pure elements: 0.16 eV per atom
* space-group type: No. 71
* distance to the lowest polymorph of the same formula: 0 meV/atom

***

Record 2
Computed, not measured: an optimized crystal structure of NdTm8Th2 at the PBE level of DFT.

a b c (Å): 10.0880 10.0880 5.4963
angles (deg): 92.01 92.01 40.26
Element x y z (fractional)
Nd (0.0000, 0.0000, 0.0000)
Tm (0.1370, 0.5986, 0.2630)
Tm (0.1831, 0.1831, 0.2338)
Tm (0.4014, 0.8630, 0.7370)
Tm (0.4531, 0.4531, 0.7602)
Tm (0.5469, 0.5469, 0.2398)
Tm (0.5986, 0.1370, 0.2630)
Tm (0.8169, 0.8169, 0.7662)
Tm (0.8630, 0.4014, 0.7370)
Th (0.2828, 0.2828, 0.7413)
Th (0.7172, 0.7172, 0.2587)

Results
* magnetic moment: 0.0 μB per formula unit
* energy of formation from the pure elements: 0.18 eV per atom
* space-group type: No. 12
* distance to the lowest polymorph of the same formula: 147 meV/atom

***

Record 3
Computed, not measured: an optimized crystal structure of Nd2Tm6Th at the PBE level of DFT.

a b c (Å): 9.7156 9.7156 3.4603
angles (deg): 90.00 90.00 120.00
Element x y z (fractional)
Nd (0.3333, 0.6667, 0.0000)
Nd (0.6667, 0.3333, 0.0000)
Tm (0.0000, 0.3309, 0.5000)
Tm (0.0000, 0.6691, 0.5000)
Tm (0.3309, 0.0000, 0.5000)
Tm (0.3309, 0.3309, 0.5000)
Tm (0.6691, 0.0000, 0.5000)
Tm (0.6691, 0.6691, 0.5000)
Th (0.0000, 0.0000, 0.0000)

Results
* magnetic moment: 0.0 μB per formula unit
* energy of formation from the pure elements: 0.07 eV per atom
* space-group type: No. 191
* distance to the lowest polymorph of the same formula: 0 meV/atom

***

Record 4
Computed, not measured: an optimized crystal structure of NdTm12Th6 at the PBE level of DFT.

a b c (Å): 9.2357 9.2357 9.2357
angles (deg): 106.97 106.97 106.97
Element x y z (fractional)
Nd (0.0000, 0.0000, 0.0000)
Tm (0.0908, 0.3288, 0.3288)
Tm (0.1118, 0.5000, 0.8882)
Tm (0.1118, 0.8882, 0.5000)
Tm (0.3288, 0.0908, 0.3288)
Tm (0.3288, 0.3288, 0.0908)
Tm (0.5000, 0.1118, 0.8882)
Tm (0.5000, 0.8882, 0.1118)
Tm (0.6712, 0.6712, 0.9092)
Tm (0.6712, 0.9092, 0.6712)
Tm (0.8882, 0.1118, 0.5000)
Tm (0.8882, 0.5000, 0.1118)
Tm (0.9092, 0.6712, 0.6712)
Th (0.2937, 0.6740, 0.6740)
Th (0.3260, 0.3260, 0.7063)
Th (0.3260, 0.7063, 0.3260)
Th (0.6740, 0.2937, 0.6740)
Th (0.6740, 0.6740, 0.2937)
Th (0.7063, 0.3260, 0.3260)

Results
* magnetic moment: 0.0 μB per formula unit
* energy of formation from the pure elements: 0.52 eV per atom
* space-group type: No. 166

***

Record 5
Computed, not measured: an optimized crystal structure of Nd2Tm6Th3 at the PBE level of DFT.

a b c (Å): 6.1383 6.1383 11.2705
angles (deg): 90.03 90.03 120.00
Element x y z (fractional)
Nd (0.1668, 0.8332, 0.0000)
Nd (0.8332, 0.1668, 0.0000)
Tm (0.1687, 0.1687, 0.2554)
Tm (0.1695, 0.5003, 0.7445)
Tm (0.5003, 0.1695, 0.7445)
Tm (0.4997, 0.8305, 0.2555)
Tm (0.8305, 0.4997, 0.2555)
Tm (0.8313, 0.8313, 0.7446)
Th (0.1666, 0.8334, 0.5000)
Th (0.5000, 0.5000, 0.5000)
Th (0.8334, 0.1666, 0.5000)

Results
* magnetic moment: 0.0 μB per formula unit
* energy of formation from the pure elements: 0.15 eV per atom
* space-group type: No. 12

***

Record 6
Computed, not measured: an optimized crystal structure of NdTm3Th3 at the PBE level of DFT.

a b c (Å): 8.7000 8.7000 8.7000
angles (deg): 60.97 60.97 60.97
Element x y z (fractional)
Nd (0.1379, 0.1379, 0.1379)
Nd (0.8621, 0.8621, 0.8621)
Tm (0.0676, 0.2393, 0.5508)
Tm (0.2393, 0.5508, 0.0676)
Tm (0.4492, 0.9324, 0.7607)
Tm (0.5508, 0.0676, 0.2393)
Tm (0.7607, 0.4492, 0.9324)
Tm (0.9324, 0.7607, 0.4492)
Th (0.2101, 0.4316, 0.6935)
Th (0.3065, 0.7899, 0.5684)
Th (0.4316, 0.6935, 0.2101)
Th (0.5684, 0.3065, 0.7899)
Th (0.6935, 0.2101, 0.4316)
Th (0.7899, 0.5684, 0.3065)

Results
* magnetic moment: 0.0 μB per formula unit
* energy of formation from the pure elements: 0.31 eV per atom
* space-group type: No. 148
* distance to the lowest polymorph of the same formula: 265 meV/atom